[1]
Below is Pr2ZnNi16 after structural relaxation, with properties calculated at the PBE level.

Cell: 8.4041 8.4041 12.2145 Å, 90.00 90.00 120.00°
Closest atoms and distances in Å follow each position.
Space group R3m (No. 160, hexagonal axes)
Asymmetric unit:
Pr: 0.0000 0.0000 0.0000 (multiplicity 3)  18 Ni 2.99-3.27, 1 Zn 3.07
Pr: 0.0000 0.0000 0.3139 (multiplicity 3)  19 Ni 2.93-3.22
Zn: 0.0000 0.0000 0.7485 (multiplicity 3)  7 Ni 2.38-2.62
Ni: 0.0000 0.0000 0.5537 (multiplicity 3)  1 Zn 2.38, 6 Ni 2.54-2.58
Ni: 0.0001 0.2920 0.6548 (multiplicity 18)  8 Ni 2.39-2.59
Ni: 0.0016 0.5008 0.1553 (multiplicity 9)  9 Ni 2.39-2.54, 1 Zn 2.60
Ni: 0.0032 0.5016 0.4997 (multiplicity 9)  8 Ni 2.42-2.58, 1 Zn 2.62
Ni: 0.1682 0.3364 0.1444 (multiplicity 9)  9 Ni 2.41-2.59

Summary:
**Volume**: 747.1 Å³/cell
**Spin magnetization**: 16.26 Bohr magnetons per cell
**VASP energy**: -320.35 eV per cell
**ΔH_f (0 K)**: -0.181 eV per atom

***

[2]
Below is HoCrI6 after structural relaxation, with properties calculated at the PBE level.

Cell: 7.2987 7.2987 19.6260 Å, 90.00 90.00 120.00°
Closest atoms and distances in Å follow each position.
Space group R-3 (No. 148, hexagonal axes)
Asymmetric unit:
Ho: 0.0000 0.0000 0.0000 (multiplicity 3)  6 I 3.03
Cr: 0.0000 0.0000 0.5000 (multiplicity 3)  6 I 2.77
I: 0.9999 0.3123 0.4199 (multiplicity 18)  1 Cr 2.77, 1 Ho 3.03

Summary:
**Formation energy (no corrections)**: -771 meV per atom
**Volume**: 905.4 Å³/cell
**Spin magnetization**: 8.94 Bohr magnetons per cell
**VASP energy**: -89.00 eV per cell

***

[3]
Below is LaCu2P after structural relaxation, with properties calculated at the PBE level.

Cell: 4.1097 4.1355 4.7514 Å, 90.00 90.14 90.00°
Closest atoms and distances in Å follow each position.
Space group P2/m (No. 10)
Asymmetric unit:
La: 0.0000 0.0000 0.0000 (multiplicity 1)  4 P 3.14, 8 Cu 3.15
Cu: 0.4982 0.5000 0.7490 (multiplicity 2)  2 Cu 2.37-2.39, 2 P 2.38
P: 0.5000 0.0000 0.5000 (multiplicity 1)  4 Cu 2.38

Summary:
**Volume**: 80.8 Å³/cell
**Spin magnetization**: 0.00 Bohr magnetons per cell
**VASP energy**: -20.58 eV per cell
**ΔH_f (0 K)**: -0.512 eV per atom

***

[4]
Below is AcNbAs2Rh5 after structural relaxation, with properties calculated at the PBE level.

Cell: 4.1350 4.1350 10.7316 Å, 90.00 90.00 90.00°
Closest atoms and distances in Å follow each position.
Space group P4/mmm (No. 123)
Asymmetric unit:
Ac: 0.0000 0.0000 0.0000 (multiplicity 1)  4 Rh 2.92
Nb: 0.5000 0.5000 0.5000 (multiplicity 1)  8 Rh 2.61
As: 0.5000 0.5000 0.2226 (multiplicity 2)  5 Rh 2.39-2.49
Rh: 0.0000 0.5000 0.3513 (multiplicity 4)  2 As 2.49, 2 Nb 2.61
Rh: 0.5000 0.5000 0.0000 (multiplicity 1)  2 As 2.39

Summary:
**Volume**: 183.5 Å³/cell
**Spin magnetization**: 0.00 Bohr magnetons per cell
**VASP energy**: -63.19 eV per cell
**ΔH_f (0 K)**: -0.329 eV per atom

***

[5]
Below is PbSe4Cl after structural relaxation, with properties calculated at the PBE level.

Cell: 8.2256 8.2256 8.2256 Å, 90.00 90.00 90.00°
Closest atoms and distances in Å follow each position.
Space group F-43m (No. 216)
Asymmetric unit:
Pb: 0.0000 0.0000 0.0000 (multiplicity 4)  12 Se 3.41, 4 Cl 3.56
Se: 0.1248 0.1248 0.6248 (multiplicity 16)  6 Se 2.90-2.91
Cl: 0.2500 0.2500 0.2500 (multiplicity 4)  12 Se 3.41, 4 Pb 3.56

Summary:
**Formation energy (no corrections)**: 117 meV per atom
**Volume**: 556.5 Å³/cell
**Spin magnetization**: 0.00 Bohr magnetons per cell
**VASP energy**: -75.17 eV per cell

***

[6]
Below is MnCr2Pt after structural relaxation, with properties calculated at the PBE level.

Cell: 5.2261 7.4910 2.6304 Å, 90.00 90.00 90.00°
Closest atoms and distances in Å follow each position.
Space group Cmmm (No. 65)
Asymmetric unit:
Mn: 0.0000 0.0000 0.0000 (multiplicity 2)  2 Pt 2.61, 2 Mn 2.63, 8 Cr 2.64
Cr: 0.2500 0.2500 0.5000 (multiplicity 4)  4 Cr 2.61-2.63, 4 Mn 2.64, 4 Pt 2.64
Pt: 0.0000 0.5000 0.0000 (multiplicity 2)  2 Mn 2.61, 2 Pt 2.63, 8 Cr 2.64

Summary:
**Volume**: 103.0 Å³/cell
**Spin magnetization**: 0.61 Bohr magnetons per cell
**VASP energy**: -69.01 eV per cell
**ΔH_f (0 K)**: -0.012 eV per atom

***

[7]
Below is MgSc2BeZn after structural relaxation, with properties calculated at the PBE level.

Cell: 5.0306 5.0306 4.7534 Å, 90.00 90.00 90.00°
Closest atoms and distances in Å follow each position.
Space group P4/mmm (No. 123)
Asymmetric unit:
Mg: 0.0000 0.0000 0.0000 (multiplicity 1)  2 Zn 2.38
Sc: 0.0000 0.5000 0.5000 (multiplicity 2)  2 Zn 2.52
Be: 0.5000 0.5000 0.0000 (multiplicity 1)  8 Sc 3.46, 4 Mg 3.56
Zn: 0.0000 0.0000 0.5000 (multiplicity 1)  2 Mg 2.38, 4 Sc 2.52

Summary:
**Volume**: 120.3 Å³/cell
**Spin magnetization**: 0.00 Bohr magnetons per cell
**VASP energy**: -16.11 eV per cell
**ΔH_f (0 K)**: 0.629 eV per atom

***

[8]
Below is KNa6Cd2 after structural relaxation, with properties calculated at the PBE level.

Cell: 5.0185 5.0185 12.8725 Å, 90.00 90.00 90.00°
Closest atoms and distances in Å follow each position.
Space group P4/mmm (No. 123)
Asymmetric unit:
K: 0.0000 0.0000 0.0000 (multiplicity 1)  8 Cd 3.84
Na: 0.0000 0.0000 0.5000 (multiplicity 1)  12 Na 3.55-3.80
Na: 0.0000 0.5000 0.2788 (multiplicity 4)  2 Cd 3.29, 4 Na 3.55
Na: 0.5000 0.5000 0.5000 (multiplicity 1)  12 Na 3.55-3.80
Cd: 0.5000 0.5000 0.1130 (multiplicity 2)  1 Cd 2.91

Summary:
**Volume**: 324.2 Å³/cell
**Spin magnetization**: 0.00 Bohr magnetons per cell
**VASP energy**: -10.95 eV per cell
**ΔH_f (0 K)**: -0.012 eV per atom
**ΔE to the lowest computed polymorph**: 0.0000 eV per atom